(1)
A plane-wave DFT calculation with PBE was carried out for a geometry-optimized HgRu2Cl structure.

Geometry as CIF:
```
data_HgRu2Cl
_chemical_formula_sum 'Hg2 Ru4 Cl2'
_space_group_name_H-M_alt 'I -4 m 2'
_space_group_IT_number 119
_space_group_name_Hall 'I -4 -2'
_cell_length_a 4.357
_cell_length_b 4.357
_cell_length_c 7.320
_cell_angle_alpha 90.00
_cell_angle_beta 90.00
_cell_angle_gamma 90.00
loop_
_atom_site_label
_atom_site_type_symbol
_atom_site_fract_x
_atom_site_fract_y
_atom_site_fract_z
Hg1 Hg 0.000 0.000 0.000
Ru1 Ru 0.000 0.000 0.500
Ru2 Ru 0.000 0.500 0.750
Cl1 Cl 0.000 0.500 0.250
```

Output
Calculated volume, Å³/cell: 139.0
Polymorph energy (0 for the lowest one), meV/atom: 804
Uncorrected energy, eV for the cell shown: -33.32
ΔE_f (raw), meV/atom: 1010


(2)
A plane-wave DFT calculation with PBE was carried out for a geometry-optimized AcAu2O4 structure.

Geometry as CIF:
```
data_AcAu2O4
_chemical_formula_sum 'Ac4 Au8 O16'
_space_group_name_H-M_alt 'I 41/a'
_space_group_IT_number 88
_cell_length_a 6.337
_cell_length_b 6.337
_cell_length_c 10.646
_cell_angle_alpha 90.00
_cell_angle_beta 90.00
_cell_angle_gamma 90.00
loop_
_space_group_symop_operation_xyz
'x,y,z'
'-x,-y,-z'
'-y+3/4,x+1/4,z+1/4'
'y+3/4,-x+1/4,-z+1/4'
'-x+1/2,-y,z+1/2'
'x+1/2,y,-z+1/2'
'y+3/4,-x+3/4,z+3/4'
'-y+3/4,x+3/4,-z+3/4'
'x+1/2,y+1/2,z+1/2'
'-x+1/2,-y+1/2,-z+1/2'
'-y+1/4,x+3/4,z+3/4'
'y+1/4,-x+3/4,-z+3/4'
'-x,-y+1/2,z'
'x,y+1/2,-z'
'y+1/4,-x+1/4,z+1/4'
'-y+1/4,x+1/4,-z+1/4'
loop_
_atom_site_label
_atom_site_type_symbol
_atom_site_fract_x
_atom_site_fract_y
_atom_site_fract_z
Ac1 Ac 0.000 0.250 0.125
Au1 Au 0.000 0.000 0.500
O1 O 0.153 0.457 0.325
```

Output
Calculated volume, Å³/cell: 427.5
Polymorph energy (0 for the lowest one), meV/atom: 0
Uncorrected energy, eV for the cell shown: -158.22
ΔE_f (raw), meV/atom: -1294


Look up the polymorph energy (0 for the lowest one) of the second one.
0 meV/atom


Among the records above, which one has the lowest polymorph energy (0 for the lowest one)?
AcAu2O4